Version w
Compound: SnPdN2F
Source: the Alexandria database
Functional: GGA-PBE
Structure: optimized geometry

Calculated values
**ρ**: 6.407 g/cm³
**Space group**: No. 123

a b c (Å): 4.025 4.025 4.354
angles (deg): 90.00 90.00 90.00
Fractional coordinates of all 5 atoms:
N1 0.000 0.500 0.000
F1 0.000 0.000 0.500
N2 0.500 0.000 0.000
Pd1 0.000 0.000 0.000
Sn1 0.500 0.500 0.500

Version x
Compound: SnPdN2F
Source: the Alexandria database
Functional: GGA-PBE
Structure: optimized geometry

Calculated values
**ρ**: 6.494 g/cm³
**Space group**: No. 123

a b c (Å): 4.146 4.146 4.048
angles (deg): 90.00 90.00 90.00
Fractional coordinates of all 5 atoms:
N1 0.000 0.500 0.000
Sn1 0.000 0.000 0.000
Pd1 0.500 0.500 0.500
F1 0.000 0.000 0.500
N2 0.500 0.000 0.000

Most favorable first, least favorable last: version w, version x